No. 1
## BaMg2Tl (PBE-GGA)

Data for a relaxed BaMg2Tl crystal.

a = 6.4438 Å, b = 6.4438 Å, c = 6.4438 Å
α = 141.34°, β = 126.97°, γ = 67.53°
Atoms (fractional coordinates):
Ba  0.2500  0.7500  0.5000
Mg  0.9707  0.9707  0.0000
Mg  0.5293  0.5293  0.0000
Tl  0.7500  0.2500  0.5000

## Properties
Its crystal system is orthorhombic. The calculation puts the formation energy at -59 meV per atom. As for the symmetry: No. 71. The magnetic moment is 0.000 μB/f.u. As for the distance to the lowest polymorph of the same formula: 127 meV/atom. The value obtained for the volume is 131.5 Å³ per cell.



No. 2
## Tb2PmYS4 (PBE-GGA)

Data for a relaxed Tb2PmYS4 crystal.

a = 3.9170 Å, b = 6.8593 Å, c = 6.8761 Å
α = 70.95°, β = 90.00°, γ = 90.00°
Atoms (fractional coordinates):
S  0.0000  0.2436  0.2570
S  0.5000  0.7526  0.2539
S  0.0000  0.7564  0.7430
S  0.5000  0.2474  0.7461
Y  0.0000  0.5000  0.5000
Tb  0.0000  0.0000  0.0000
Tb  0.5000  0.0000  0.5000
Pm  0.5000  0.5000  0.0000

## Properties
Its crystal system is monoclinic. As for the symmetry: No. 10. The magnetic moment is 0.000 μB/f.u. The value obtained for the volume is 174.6 Å³ per cell. The value obtained for the formation energy from raw total energies is -2009 meV/atom.



No. 3
## PrPd2Au2 (PBE-GGA)

Data for a relaxed PrPd2Au2 crystal.

a = 4.2702 Å, b = 4.3724 Å, c = 10.6636 Å
α = 101.82°, β = 90.00°, γ = 90.00°
Atoms (fractional coordinates):
Pd  0.2500  0.9517  0.9028
Pd  0.2500  0.7497  0.4992
Pd  0.7500  0.2503  0.5008
Pd  0.7500  0.0483  0.0972
Au  0.2500  0.3527  0.7048
Au  0.7500  0.4551  0.9108
Au  0.7500  0.6473  0.2952
Au  0.2500  0.5449  0.0892
Pr  0.2500  0.1503  0.3006
Pr  0.7500  0.8497  0.6994

## Properties
Its crystal system is orthorhombic. The calculation puts the formation energy at -553 meV per atom. As for the symmetry: No. 63. The magnetic moment is 0.000 μB/f.u. As for the distance to the lowest polymorph of the same formula: 0 meV/atom. The value obtained for the volume is 194.9 Å³ per cell.



No. 4
## CeLuRu4 (PBE-GGA)

Data for a relaxed CeLuRu4 crystal.

a = 5.3297 Å, b = 5.3297 Å, c = 5.3297 Å
α = 60.00°, β = 60.00°, γ = 60.00°
Atoms (fractional coordinates):
Ru  0.6252  0.6252  0.6252
Ru  0.1243  0.6252  0.6252
Ru  0.6252  0.1243  0.6252
Ru  0.6252  0.6252  0.1243
Lu  0.0000  0.0000  0.0000
Ce  0.2500  0.2500  0.2500

## Properties
Its crystal system is cubic. The calculation puts the formation energy at -303 meV per atom. As for the symmetry: No. 216. The magnetic moment is 0.000 μB/f.u. The value obtained for the volume is 107.1 Å³ per cell.